Record 1
# InCo2Cu2 (GGA-PBE, optimized geometry)
# Total energy in eV per cell: -47.121
# Total moment in μB per cell: 5.316
# Formation energy in eV per atom: 0.32
# Density in g/cm³: 8.8
data_InCo2Cu2
_chemical_formula_sum 'In2 Co4 Cu4'
_cell_length_a 6.946
_cell_length_b 6.946
_cell_length_c 2.815
_cell_angle_alpha 90.00
_cell_angle_beta 90.00
_cell_angle_gamma 90.00
_space_group_name_H-M_alt 'P 4/m b m'
_space_group_IT_number 127
_space_group_name_Hall '-P 4 2ab'
loop_
_atom_site_label
_atom_site_type_symbol
_atom_site_fract_x
_atom_site_fract_y
_atom_site_fract_z
In1 In 0.000 0.000 0.000
Co1 Co 0.170 0.330 0.500
Cu1 Cu 0.125 0.625 0.000

Record 2
# In4CoCu (GGA-PBE, optimized geometry)
# Total energy in eV per cell: -69.979
# Total moment in μB per cell: 5.977
# Formation energy in eV per atom: 0.78
# Density in g/cm³: 6.9
data_In4CoCu
_chemical_formula_sum 'In16 Co4 Cu4'
_cell_length_a 8.229
_cell_length_b 8.229
_cell_length_c 8.229
_cell_angle_alpha 90.00
_cell_angle_beta 90.00
_cell_angle_gamma 90.00
_space_group_name_H-M_alt 'F -4 3 m'
_space_group_IT_number 216
_space_group_name_Hall 'F -4 2 3'
loop_
_atom_site_label
_atom_site_type_symbol
_atom_site_fract_x
_atom_site_fract_y
_atom_site_fract_z
In1 In 0.125 0.125 0.125
Co1 Co 0.250 0.250 0.750
Cu1 Cu 0.000 0.000 0.500

Record 3
# InCoCu3 (GGA-PBE, optimized geometry)
# Total energy in eV per cell: -18.263
# Total moment in μB per cell: 1.598
# Formation energy in eV per atom: 0.77
# Density in g/cm³: 6.9
data_InCoCu3
_chemical_formula_sum 'In1 Co1 Cu3'
_cell_length_a 4.450
_cell_length_b 4.450
_cell_length_c 4.450
_cell_angle_alpha 90.00
_cell_angle_beta 90.00
_cell_angle_gamma 90.00
_space_group_name_H-M_alt 'P m -3 m'
_space_group_IT_number 221
_space_group_name_Hall '-P 4 2 3'
loop_
_atom_site_label
_atom_site_type_symbol
_atom_site_fract_x
_atom_site_fract_y
_atom_site_fract_z
In1 In 0.000 0.000 0.000
Co1 Co 0.500 0.500 0.500
Cu1 Cu 0.000 0.500 0.500

Record 4
# InCo2Cu2 (GGA-PBE, optimized geometry)
# Total energy in eV per cell: -46.800
# Total moment in μB per cell: 6.833
# Formation energy in eV per atom: 0.35
# Density in g/cm³: 8.2
data_InCo2Cu2
_chemical_formula_sum 'In2 Co4 Cu4'
_cell_length_a 3.426
_cell_length_b 3.426
_cell_length_c 12.368
_cell_angle_alpha 90.00
_cell_angle_beta 90.00
_cell_angle_gamma 90.00
_space_group_name_H-M_alt 'I 4/m m m'
_space_group_IT_number 139
_space_group_name_Hall '-I 4 2'
loop_
_atom_site_label
_atom_site_type_symbol
_atom_site_fract_x
_atom_site_fract_y
_atom_site_fract_z
In1 In 0.000 0.000 0.000
Co1 Co 0.000 0.500 0.250
Cu1 Cu 0.000 0.000 0.397